(1)
Material: TlPH3
Method: DFT, PBE
State: optimized geometry

```
data_TlPH3
_chemical_formula_sum 'Tl1 P1 H3'
_cell_length_a 3.822
_cell_length_b 3.822
_cell_length_c 3.822
_cell_angle_alpha 90.00
_cell_angle_beta 90.00
_cell_angle_gamma 90.00
_symmetry_space_group_name_H-M 'P m -3 m'
_symmetry_Int_Tables_number 221
_symmetry_space_group_name_Hall '-P 4 2 3'
loop_
_atom_site_label
_atom_site_fract_x
_atom_site_fract_y
_atom_site_fract_z
Tl1 0.000 0.000 0.000
P1 0.500 0.500 0.500
H1 0.000 0.500 0.500
```

Results
ρ (g cm⁻³): 7.09
N(E_F) (states/eV per atom): 0.182
Offset from the most stable computed form (meV per atom): 420
V (Å³/f.u.): 55.8
Spin magnetization (μB/f.u.): 0.00

=====

(2)
Material: LiAgF2
Method: DFT, PBE
State: optimized geometry

```
data_LiAgF2
_chemical_formula_sum 'Li4 Ag4 F8'
_cell_length_a 5.795
_cell_length_b 5.795
_cell_length_c 5.795
_cell_angle_alpha 90.00
_cell_angle_beta 90.00
_cell_angle_gamma 90.00
_symmetry_space_group_name_H-M 'F m -3 m'
_symmetry_Int_Tables_number 225
_symmetry_space_group_name_Hall '-F 4 2 3'
loop_
_atom_site_label
_atom_site_fract_x
_atom_site_fract_y
_atom_site_fract_z
Li1 0.000 0.000 0.000
Ag1 0.000 0.000 0.500
F1 0.250 0.250 0.250
```

Results
ρ (g cm⁻³): 5.22
N(E_F) (states/eV per atom): 0.000
Offset from the most stable computed form (meV per atom): 295
V (Å³/f.u.): 48.6
Uncorrected formation energy (eV/atom): -1.6633
Spin magnetization (μB/f.u.): 0.00

=====

(3)
Material: AgBI3
Method: DFT, PBE
State: optimized geometry

```
data_AgBI3
_chemical_formula_sum 'Ag1 B1 I3'
_cell_length_a 5.683
_cell_length_b 5.683
_cell_length_c 5.683
_cell_angle_alpha 90.00
_cell_angle_beta 90.00
_cell_angle_gamma 90.00
_symmetry_space_group_name_H-M 'P m -3 m'
_symmetry_Int_Tables_number 221
_symmetry_space_group_name_Hall '-P 4 2 3'
loop_
_atom_site_label
_atom_site_fract_x
_atom_site_fract_y
_atom_site_fract_z
Ag1 0.000 0.000 0.000
B1 0.500 0.500 0.500
I1 0.000 0.000 0.500
```

Results
ρ (g cm⁻³): 4.52
N(E_F) (states/eV per atom): 0.325
Offset from the most stable computed form (meV per atom): 318
V (Å³/f.u.): 183.5
Uncorrected formation energy (eV/atom): 1.0310
Spin magnetization (μB/f.u.): 0.00

=====

(4)
Material: Pu2Al6Ir
Method: DFT, PBE
State: optimized geometry

```
data_Pu2Al6Ir
_chemical_formula_sum 'Pu2 Al6 Ir1'
_cell_length_a 5.9587
_cell_length_b 5.9587
_cell_length_c 5.5253
_cell_angle_alpha 90.00
_cell_angle_beta 90.00
_cell_angle_gamma 120.00
_symmetry_space_group_name_H-M 'P -3 m 1'
_symmetry_Int_Tables_number 164
_symmetry_space_group_name_Hall '-P 3 2"'
loop_
_atom_site_label
_atom_site_fract_x
_atom_site_fract_y
_atom_site_fract_z
Pu1 0.3333 0.6667 0.1938
Al1 0.1747 0.3494 0.6914
Ir1 0.0000 0.0000 0.0000
```

Results
ρ (g cm⁻³): 8.23
N(E_F) (states/eV per atom): 1.798
V (Å³/f.u.): 169.9
Formation energy (eV/atom): -0.43
Spin magnetization (μB/f.u.): 11.64

=====

(5)
Material: Y2MnPb
Method: DFT, PBE
State: optimized geometry

```
data_Y2MnPb
_chemical_formula_sum 'Y4 Mn2 Pb2'
_cell_length_a 6.225
_cell_length_b 3.565
_cell_length_c 9.867
_cell_angle_alpha 90.00
_cell_angle_beta 101.77
_cell_angle_gamma 90.00
_symmetry_space_group_name_H-M 'C 1 2/m 1'
_symmetry_Int_Tables_number 12
loop_
_symmetry_equiv_pos_as_xyz
'x,y,z'
'-x,-y,-z'
'-x,y,-z'
'x,-y,z'
'x+1/2,y+1/2,z'
'-x+1/2,-y+1/2,-z'
'-x+1/2,y+1/2,-z'
'x+1/2,-y+1/2,z'
loop_
_atom_site_label
_atom_site_fract_x
_atom_site_fract_y
_atom_site_fract_z
Y1 0.242 0.000 0.225
Mn1 0.000 0.500 0.000
Pb1 0.000 0.000 0.500
```

Results
ρ (g cm⁻³): 6.82
N(E_F) (states/eV per atom): 1.289
V (Å³/f.u.): 107.2
Formation energy (eV/atom): 0.07
Spin magnetization (μB/f.u.): 2.77

=====

(6)
Material: Ta2CrSI
Method: DFT, PBE
State: optimized geometry

```
data_Ta2CrSI
_chemical_formula_sum 'Ta2 Cr1 S1 I1'
_cell_length_a 4.717
_cell_length_b 4.717
_cell_length_c 4.191
_cell_angle_alpha 90.00
_cell_angle_beta 90.00
_cell_angle_gamma 90.00
_symmetry_space_group_name_H-M 'P 4/m m m'
_symmetry_Int_Tables_number 123
_symmetry_space_group_name_Hall '-P 4 2'
loop_
_atom_site_label
_atom_site_fract_x
_atom_site_fract_y
_atom_site_fract_z
Ta1 0.000 0.500 0.000
Cr1 0.000 0.000 0.500
S1 0.000 0.000 0.000
I1 0.500 0.500 0.500
```

Results
ρ (g cm⁻³): 10.20
N(E_F) (states/eV per atom): 1.450
V (Å³/f.u.): 93.3
Uncorrected formation energy (eV/atom): 0.7502
Spin magnetization (μB/f.u.): 0.00

=====

Among the records above, which one has the lowest N(E_F)? LiAgF2